Record 1
Density functional theory data (PBE) for a relaxed Sm8Y2Ho3 crystal.

The structure in extended XYZ format:
```
13
Lattice="5.633 0.000 0.764 0.000 7.691 -0.002 -1.369 -3.848 10.091" Properties=species:S:1:pos:R:3 pbc="T T T"
Sm -0.359 -0.001 2.646
Sm 1.736 1.589 8.339
Y 2.107 3.842 5.619
Sm -0.462 3.845 3.412
Ho 2.816 0.000 0.382
Sm 2.528 5.436 2.514
Y 2.157 0.001 5.234
Ho 4.264 -1.651 10.854
Sm 2.528 2.253 2.514
Sm 4.726 -0.002 7.441
Ho 0.000 5.494 -0.001
Sm 1.736 -1.593 8.339
Sm 4.623 3.844 8.207
```

Computed properties:
Its formation energy is 213 meV per atom.

Record 2
Density functional theory data (PBE) for a relaxed Na2Mg2P crystal.

The structure in extended XYZ format:
```
10
Lattice="-1.901 6.350 1.688 -3.821 -2.498 5.094 4.278 0.379 3.395" Properties=species:S:1:pos:R:3 pbc="T T T"
Na -0.690 4.629 4.767
Na -0.754 -0.398 5.409
Na 0.859 1.845 3.126
Mg -4.101 3.770 4.747
P 0.000 0.000 0.000
Na -2.303 2.386 7.050
P -2.861 1.926 3.391
Mg -1.622 0.083 2.034
Mg -1.812 3.755 1.864
Mg -3.911 0.097 4.917
```

Computed properties:
The distance to the lowest polymorph of the same formula comes out at 0.0 kJ per mole of atoms. Its formation energy is -91 meV per atom.

Record 3
Density functional theory data (PBE) for a relaxed YTlHgBi crystal.

The structure in extended XYZ format:
```
4
Lattice="5.473 0.000 0.000 2.737 4.740 0.000 2.737 1.580 4.469" Properties=species:S:1:pos:R:3 pbc="T T T"
Tl 2.737 1.580 1.117
Bi 0.000 0.000 0.000
Hg 5.473 3.160 2.235
Y 8.210 4.740 3.352
```

Computed properties:
Its formation energy is -255 meV per atom.

Record 4
Density functional theory data (PBE) for a relaxed K2ZnSbTe4 crystal.

The structure in extended XYZ format:
```
16
Lattice="-5.761 -3.893 -2.134 -0.126 -4.682 8.882 -5.702 6.580 3.387" Properties=species:S:1:pos:R:3 pbc="T T T"
Sb -2.959 -5.786 6.259
Zn -5.738 -4.467 -0.980
K -9.751 -1.959 6.316
Te -5.013 1.287 1.944
Te -5.140 -7.529 5.974
Te -2.065 -1.765 -0.047
Te -7.902 -4.351 8.034
Sb -8.609 -1.411 1.135
Te -4.278 -3.044 6.206
Te -6.663 -0.291 7.623
K -7.008 1.687 4.655
Te -9.960 0.110 3.397
Zn -5.802 -2.712 8.384
K -3.979 -1.809 2.855
K -7.078 -5.044 4.728
Te -6.644 -3.717 1.427
```

Computed properties:
The value obtained for the uncorrected formation energy is -0.471 eV per atom.

Record 5
Density functional theory data (PBE) for a relaxed HfNb2Fe2 crystal.

The structure in extended XYZ format:
```
10
Lattice="-2.709 1.514 6.421 4.479 -4.675 2.992 2.118 2.260 0.361" Properties=species:S:1:pos:R:3 pbc="T T T"
Fe -1.125 0.347 4.433
Nb 3.591 -1.730 3.233
Fe 0.464 -1.627 7.472
Nb 2.994 -1.764 6.950
Hf 0.000 0.000 0.000
Nb 0.297 0.830 6.541
Fe 2.895 -3.507 4.980
Nb 0.893 0.863 2.824
Fe 1.306 -1.534 1.941
Hf 0.885 -1.580 4.707
```

Computed properties:
The distance to the lowest polymorph of the same formula comes out at 0.0 kJ per mole of atoms. Its formation energy is 14 meV per atom.

Record 6
Density functional theory data (PBE) for a relaxed Ce2Sm3HoP6 crystal.

The structure in extended XYZ format:
```
12
Lattice="-2.737 0.141 -6.505 0.010 -6.014 3.696 -5.050 3.510 3.477" Properties=species:S:1:pos:R:3 pbc="T T T"
P -5.415 -2.789 2.212
P -4.496 1.177 1.921
P -2.363 0.425 -1.543
Ho 0.000 0.000 0.000
Ce -1.821 -1.911 -3.104
P -3.281 -3.541 -1.253
Sm -3.889 -1.182 0.334
P -1.450 -1.621 1.849
Sm -4.804 0.869 -3.064
Sm -2.974 -3.232 3.733
P -6.328 -0.742 -1.180
Ce -0.906 -3.962 0.295
```

Computed properties:
Its formation energy is -1562 meV per atom.